No. 1
# SrTaRh2

Crystalline SrTaRh2 at its relaxed geometry (PBE, the Alexandria database).

Unit cell a=9.317 b=3.368 c=5.935 alpha=90.00 beta=101.82 gamma=90.00
Space group Cm (No. 8)
Inequivalent atoms, fractional coordinates:
Sr (0.000, 0.000, 0.000)
Ta (0.294, 0.500, 0.432)
Rh (0.002, 0.500, 0.473)
Rh (0.235, 0.000, 0.703)

Formation energy (eV per formula unit): 0.0
Density of states at the Fermi level (states/eV per atom): 0.85
Energy above the most stable polymorph in this dataset (meV/atom): 354
Magnetization (μB per formula unit): 0.0


No. 2
# SrTa2Rh

Crystalline SrTa2Rh at its relaxed geometry (PBE, the Alexandria database).

Unit cell a=3.169 b=3.169 c=8.660 alpha=90.00 beta=90.00 gamma=90.00
Space group P4mm (No. 99)
Inequivalent atoms, fractional coordinates:
Sr (0.000, 0.000, 0.000)
Ta (0.000, 0.000, 0.556)
Ta (0.500, 0.500, 0.338)
Rh (0.500, 0.500, 0.718)

Formation energy (eV per formula unit): 0.5
Density of states at the Fermi level (states/eV per atom): 1.10
Energy above the most stable polymorph in this dataset (meV/atom): 0
Magnetization (μB per formula unit): 0.0


No. 3
# SrTa2Rh

Crystalline SrTa2Rh at its relaxed geometry (PBE, the Alexandria database).

Unit cell a=3.0487 b=3.0487 c=30.5180 alpha=90.00 beta=90.00 gamma=120.00
Space group R-3m (No. 166, hexagonal axes)
Inequivalent atoms, fractional coordinates:
Sr (0.0000, 0.0000, 0.0000)
Ta (0.0000, 0.0000, 0.2360)
Rh (0.0000, 0.0000, 0.5000)

Formation energy (eV per formula unit): 2.2
Density of states at the Fermi level (states/eV per atom): 0.62
Energy above the most stable polymorph in this dataset (meV/atom): 417
Magnetization (μB per formula unit): 0.0


No. 4
# SrTa2Rh

Crystalline SrTa2Rh at its relaxed geometry (PBE, the Alexandria database).

Unit cell a=5.009 b=5.009 c=3.053 alpha=90.00 beta=90.00 gamma=90.00
Space group P4/mmm (No. 123)
Inequivalent atoms, fractional coordinates:
Sr (0.000, 0.000, 0.000)
Ta (0.000, 0.500, 0.500)
Rh (0.500, 0.500, 0.000)

Formation energy (eV per formula unit): 3.6
Density of states at the Fermi level (states/eV per atom): 0.95
Energy above the most stable polymorph in this dataset (meV/atom): 765
Magnetization (μB per formula unit): 0.0


No. 5
# SrTa2Rh2

Crystalline SrTa2Rh2 at its relaxed geometry (PBE, the Alexandria database).

Unit cell a=8.155 b=8.155 c=2.864 alpha=90.00 beta=90.00 gamma=90.00
Space group P4/mbm (No. 127)
Inequivalent atoms, fractional coordinates:
Sr (0.000, 0.000, 0.000)
Ta (0.120, 0.380, 0.000)
Rh (0.171, 0.671, 0.500)

Formation energy (eV per formula unit): -0.5
Density of states at the Fermi level (states/eV per atom): 0.59
Energy above the most stable polymorph in this dataset (meV/atom): 164
Magnetization (μB per formula unit): 0.0


No. 6
# SrTa2Rh2

Crystalline SrTa2Rh2 at its relaxed geometry (PBE, the Alexandria database).

Unit cell a=4.689 b=4.689 c=9.973 alpha=90.00 beta=90.00 gamma=90.00
Space group I4/mmm (No. 139)
Inequivalent atoms, fractional coordinates:
Sr (0.000, 0.000, 0.000)
Ta (0.000, 0.000, 0.359)
Rh (0.000, 0.500, 0.250)

Formation energy (eV per formula unit): 0.1
Density of states at the Fermi level (states/eV per atom): 0.59
Energy above the most stable polymorph in this dataset (meV/atom): 295
Magnetization (μB per formula unit): 0.0


No. 7
# SrTaRh2

Crystalline SrTaRh2 at its relaxed geometry (PBE, the Alexandria database).

Unit cell a=6.622 b=6.622 c=6.622 alpha=90.00 beta=90.00 gamma=90.00
Space group F-43m (No. 216)
Inequivalent atoms, fractional coordinates:
Sr (0.000, 0.000, 0.000)
Ta (0.250, 0.250, 0.750)
Rh (0.000, 0.000, 0.500)
Rh (0.250, 0.250, 0.250)

Formation energy (eV per formula unit): 1.9
Density of states at the Fermi level (states/eV per atom): 0.88
Energy above the most stable polymorph in this dataset (meV/atom): 833
Magnetization (μB per formula unit): 0.0


No. 8
# SrTaRh2

Crystalline SrTaRh2 at its relaxed geometry (PBE, the Alexandria database).

Unit cell a=6.701 b=6.701 c=6.701 alpha=90.00 beta=90.00 gamma=90.00
Space group Fm-3m (No. 225)
Inequivalent atoms, fractional coordinates:
Sr (0.000, 0.000, 0.000)
Ta (0.000, 0.000, 0.500)
Rh (0.250, 0.250, 0.250)

Formation energy (eV per formula unit): 0.3
Density of states at the Fermi level (states/eV per atom): 1.10
Energy above the most stable polymorph in this dataset (meV/atom): 433
Magnetization (μB per formula unit): 0.0


No. 9
# SrTaRh2

Crystalline SrTaRh2 at its relaxed geometry (PBE, the Alexandria database).

Unit cell a=6.947 b=7.111 c=3.022 alpha=90.00 beta=90.00 gamma=90.00
Space group Cmmm (No. 65)
Inequivalent atoms, fractional coordinates:
Sr (0.000, 0.000, 0.000)
Ta (0.000, 0.500, 0.000)
Rh (0.250, 0.250, 0.500)

Formation energy (eV per formula unit): 0.0
Density of states at the Fermi level (states/eV per atom): 0.82
Energy above the most stable polymorph in this dataset (meV/atom): 371
Magnetization (μB per formula unit): 0.0


No. 10
# SrTaRh2

Crystalline SrTaRh2 at its relaxed geometry (PBE, the Alexandria database).

Unit cell a=7.412 b=7.412 c=6.471 alpha=90.00 beta=90.00 gamma=90.00
Space group I-42d (No. 122)
Inequivalent atoms, fractional coordinates:
Sr (0.000, 0.000, 0.000)
Ta (0.000, 0.000, 0.500)
Rh (0.192, 0.750, 0.625)

Formation energy (eV per formula unit): 0.4
Density of states at the Fermi level (states/eV per atom): 0.72
Energy above the most stable polymorph in this dataset (meV/atom): 463
Magnetization (μB per formula unit): 0.0